Here is an optimized crystal structure of Li2VPO5 from Alexandria via LeMat-Bulk. Energies are from PBE with a Hubbard U.

Summary:
DFT total energy (eV/atom): -6.8301
Spin magnetization (Bohr magnetons per cell): 4.0

Cell and atoms, written as CIF:
```
data_Li2VPO5
_chemical_formula_sum 'Li4 V2 P2 O10'
_space_group_name_H-M_alt 'P m n 21'
_space_group_IT_number 31
_cell_length_a 6.546
_cell_length_b 4.176
_cell_length_c 6.703
_cell_angle_alpha 90.00
_cell_angle_beta 90.00
_cell_angle_gamma 90.00
loop_
_space_group_symop_operation_xyz
'x,y,z'
'-x+1/2,-y,z+1/2'
'-x,y,z'
'x+1/2,-y,z+1/2'
loop_
_atom_site_label
_atom_site_type_symbol
_atom_site_fract_x
_atom_site_fract_y
_atom_site_fract_z
Li1 Li 0.229 0.033 0.000
V1 V 0.000 0.617 0.229
P1 P 0.000 0.496 0.730
O1 O 0.000 0.168 0.206
O2 O 0.000 0.705 0.539
O3 O 0.000 0.709 0.918
O4 O 0.193 0.280 0.732
```